This record from Alexandria describes a relaxed NdTlCuCl5 crystal. The functional is PBE.

Results
Space-group type = No. 15
Uncorrected energy = -4.04 eV/atom
Raw formation energy = -11.9 eV/f.u.
Magnetic moment = 0.1 μB per formula unit

Unit cell a=7.496 b=7.496 c=10.256 alpha=103.60 beta=103.60 gamma=106.98
Site moments in Bohr magnetons follow the coordinates.
Sites, in units of the cell vectors:
Tl 0.356 0.644 0.250  0.00
Nd 0.000 0.000 0.000  0.00
Cu 0.310 0.690 0.750  0.13
Tl 0.644 0.356 0.750  0.00
Cu 0.690 0.310 0.250  0.13
Cl 0.685 0.092 0.379  0.00
Cl 0.915 0.085 0.750  0.00
Cl 0.315 0.908 0.621  0.00
Cl 0.085 0.915 0.250  0.00
Nd 0.000 0.000 0.500  0.00
Cl 0.908 0.315 0.121  0.00
Cl 0.752 0.613 0.422  0.00
Cl 0.092 0.685 0.879  0.00
Cl 0.387 0.248 0.078  0.00
Cl 0.613 0.752 0.922  0.00
Cl 0.248 0.387 0.578  0.00


This record from Alexandria describes a relaxed Cu2NiCl crystal. The functional is PBE.

Results
Space-group type = No. 47
E above lowest polymorph = 1.239 eV/f.u.
Uncorrected energy = -3.55 eV/atom
Raw formation energy = 1.6 eV/f.u.
Magnetic moment = 0.0 μB per formula unit

Unit cell a=2.969 b=4.063 c=4.442 alpha=90.00 beta=90.00 gamma=90.00
Sites, in units of the cell vectors:
Cl 0.000 0.500 0.500
Cu 0.000 0.000 0.000
Ni 0.500 0.000 0.500
Cu 0.500 0.500 0.000


This record from Alexandria describes a relaxed Cu2NiCl crystal. The functional is PBE.

Results
Space-group type = No. 65
E above lowest polymorph = 0.483 eV/f.u.
Uncorrected energy = -3.73 eV/atom
Raw formation energy = 0.9 eV/f.u.
Magnetic moment = 0.5 μB per formula unit

Unit cell a=3.027 b=3.027 c=6.067 alpha=90.00 beta=90.00 gamma=89.61
Site moments in Bohr magnetons follow the coordinates.
Sites, in units of the cell vectors:
Cl 0.500 0.500 0.750  0.01
Cu 0.000 0.000 0.037  0.04
Cu 0.000 0.000 0.463  0.04
Ni 0.500 0.500 0.250  0.43